Entry 1:
The following is a PBE calculation of a relaxed structure of LaYSn2Pd4, from OQMD via LeMat-Bulk.

- DFT total energy: -5.883 eV per atom
- Crystal system: hexagonal
- Total magnetic moment: 0.0 μB per formula unit

Lattice parameters (Å, degrees): 4.6261 4.6261 9.1776 90.00 90.00 120.00
Atoms (fractional coordinates):
La1 0.0000 0.0000 0.0000
Y1 0.6667 0.3333 0.5000
Sn1 0.3333 0.6667 0.2623
Sn2 0.3333 0.6667 0.7377
Pd1 0.0000 0.0000 0.3389
Pd2 0.0000 0.0000 0.6611
Pd3 0.6667 0.3333 0.1750
Pd4 0.6667 0.3333 0.8250

=====

Entry 2:
The following is a PBE calculation of a relaxed structure of PrCdSb, from OQMD via LeMat-Bulk.

- DFT total energy: -3.574 eV per atom
- Crystal system: cubic
- Total magnetic moment: 0.0 μB per formula unit

Lattice parameters (Å, degrees): 5.1338 5.1338 5.1338 60.00 60.00 60.00
Atoms (fractional coordinates):
Pr1 0.0000 0.0000 0.0000
Cd1 0.5000 0.5000 0.5000
Sb1 0.7500 0.7500 0.7500

=====

Entry 3:
The following is a PBE calculation of a relaxed structure of Au6ICl, from OQMD via LeMat-Bulk.

- DFT total energy: -2.379 eV per atom
- Crystal system: cubic

Lattice parameters (Å, degrees): 6.6830 6.6830 6.6830 60.00 60.00 60.00
Atoms (fractional coordinates):
Au1 0.2104 0.2104 0.7896
Au2 0.2104 0.7896 0.2104
Au3 0.2104 0.7896 0.7896
Au4 0.7896 0.2104 0.2104
Au5 0.7896 0.2104 0.7896
Au6 0.7896 0.7896 0.2104
I1 0.7500 0.7500 0.7500
Cl1 0.5000 0.5000 0.5000

=====

Entry 4:
The following is a PBE calculation of a relaxed structure of ReNiP2, from OQMD via LeMat-Bulk.

- DFT total energy: -7.451 eV per atom
- Crystal system: orthorhombic
- Total magnetic moment: 0.0 μB per formula unit

Lattice parameters (Å, degrees): 5.9519 3.0723 11.3820 90.00 90.00 90.00
Atoms (fractional coordinates):
Re1 0.0015 0.2500 0.1665
Re2 0.4985 0.7500 0.6665
Re3 0.5015 0.2500 0.3335
Re4 0.9985 0.7500 0.8335
Ni1 0.0587 0.7500 0.5881
Ni2 0.4413 0.2500 0.0881
Ni3 0.5587 0.7500 0.9119
Ni4 0.9413 0.2500 0.4119
P1 0.1643 0.7500 0.3121
P2 0.1873 0.7500 0.0273
P3 0.3127 0.2500 0.5273
P4 0.3357 0.2500 0.8121
P5 0.6643 0.7500 0.1879
P6 0.6873 0.7500 0.4727
P7 0.8127 0.2500 0.9727
P8 0.8357 0.2500 0.6879

=====

Entry 5:
The following is a PBE calculation of a relaxed structure of NaHfAlPd, from OQMD via LeMat-Bulk.

- DFT total energy: -5.256 eV per atom
- Crystal system: cubic
- Total magnetic moment: 0.0 μB per formula unit

Lattice parameters (Å, degrees): 4.6090 4.6090 4.6090 60.00 60.00 60.00
Atoms (fractional coordinates):
Na1 0.0000 0.0000 0.0000
Hf1 0.7500 0.7500 0.7500
Al1 0.2500 0.2500 0.2500
Pd1 0.5000 0.5000 0.5000

=====

Entry 6:
The following is a PBE calculation of a relaxed structure of YHo2Al2Cd4, from OQMD via LeMat-Bulk.

- DFT total energy: -3.353 eV per atom
- Crystal system: orthorhombic
- Total magnetic moment: 0.0 μB per formula unit

Lattice parameters (Å, degrees): 4.5481 7.2890 7.2890 120.07 90.00 90.00
Atoms (fractional coordinates):
Y1 0.0000 0.0000 0.0000
Ho1 0.0000 0.4295 0.8592
Ho2 0.0000 0.8592 0.4295
Al1 0.5000 0.0965 0.7624
Al2 0.5000 0.7624 0.0965
Cd1 0.0000 0.4304 0.4304
Cd2 0.5000 0.1781 0.4298
Cd3 0.5000 0.4298 0.1781
Cd4 0.5000 0.6809 0.6809

=====

Entry 7:
The following is a PBE calculation of a relaxed structure of TbPrSb2, from OQMD via LeMat-Bulk.

- DFT total energy: -5.255 eV per atom
- Crystal system: tetragonal
- Total magnetic moment: 0.0 μB per formula unit

Lattice parameters (Å, degrees): 4.5214 4.5214 11.5837 90.00 90.00 90.00
Atoms (fractional coordinates):
Tb1 0.2500 0.7500 0.0000
Tb2 0.7500 0.2500 0.0000
Pr1 0.2500 0.2500 0.2866
Pr2 0.7500 0.7500 0.7134
Sb1 0.2500 0.2500 0.8086
Sb2 0.2500 0.7500 0.5000
Sb3 0.7500 0.2500 0.5000
Sb4 0.7500 0.7500 0.1914

=====

Entry 8:
The following is a PBE calculation of a relaxed structure of GaIrPd2, from OQMD via LeMat-Bulk.

- DFT total energy: -5.750 eV per atom
- Crystal system: cubic
- Total magnetic moment: 0.0 μB per formula unit

Lattice parameters (Å, degrees): 4.3910 4.3910 4.3910 60.00 60.00 60.00
Atoms (fractional coordinates):
Ga1 0.0000 0.0000 0.0000
Ir1 0.2500 0.2500 0.2500
Pd1 0.5000 0.5000 0.5000
Pd2 0.7500 0.7500 0.7500

=====

Q: What is the formula in the seventh record?
A: TbPrSb2